Computed, not measured: Sr3Ag2Sn3 after structural relaxation at the GGA-PBE level of DFT.

abc: 4.909 6.359 16.462
angles: 90.00 90.00 112.70
Positions (direct):
Sn: 0.385 0.770 0.537
Sn: 0.665 0.331 0.750
Sn: 0.615 0.230 0.463
Sn: 0.335 0.669 0.250
Sn: 0.615 0.230 0.037
Sn: 0.385 0.770 0.963
Ag: 0.797 0.594 0.900
Ag: 0.203 0.406 0.100
Ag: 0.797 0.594 0.600
Ag: 0.203 0.406 0.400
Sr: 0.906 0.812 0.390
Sr: 0.094 0.188 0.890
Sr: 0.906 0.812 0.110
Sr: 0.094 0.188 0.610
Sr: 0.371 0.742 0.750
Sr: 0.629 0.258 0.250

Values from the calculation:
The total energy comes out at -3.385 eV per atom. The crystal system is orthorhombic. For the formation energy, the calculation gives -0.541 eV/atom.